Hf2BeHRu: relaxed, GGA-PBE.

Lattice parameters (Å, degrees): 4.5020 4.5020 3.3142 90.00 90.00 90.00
Element x y z (fractional)
Hf  0.0000  0.5000  0.0000
Hf  0.5000  0.0000  0.0000
Be  0.0000  0.0000  0.5000
H  0.0000  0.0000  0.0000
Ru  0.5000  0.5000  0.5000

## Properties
E_tot   -7.5499 eV per atom
Symmetry   No. 123